(1)
Density functional theory data (GGA-PBE) for a relaxed Ho2FeSn6 crystal.

## Properties
Its crystal system is orthorhombic. The calculation puts the uncorrected energy at -89.2 eV per cell. For the calculated volume, the calculation gives 24.605 A^3/atom.

a = 4.3592 Å, b = 22.8920 Å, c = 4.4381 Å
α = 90.00°, β = 90.00°, γ = 90.00°
With the nearest neighbours (Å) after each atom.
Space group Cmmm (No. 65)
One atom of each set of equivalent atoms:
Ho (0.0000, 0.1782, 0.0000)  10 Sn 3.17-3.47
Fe (0.0000, 0.5000, 0.5000)  8 Sn 2.71-2.74
Sn (0.0000, 0.0705, 0.5000)  2 Fe 2.71
Sn (0.0000, 0.2947, 0.5000)  2 Sn 2.99, 4 Ho 3.17
Sn (0.0000, 0.4301, 0.0000)  2 Fe 2.74

=====

(2)
Density functional theory data (GGA-PBE) for a relaxed Ho2FeSn2 crystal.

## Properties
Its crystal system is monoclinic. The calculation puts the uncorrected energy at -111.4 eV per cell. For the calculated volume, the calculation gives 23.625 A^3/atom.

a = 10.9625 Å, b = 4.4644 Å, c = 10.8457 Å
α = 90.00°, β = 117.11°, γ = 90.00°
With the nearest neighbours (Å) after each atom.
Space group C2/m (No. 12)
One atom of each set of equivalent atoms:
Ho (0.0046, 0.0000, 0.3339)  7 Sn 3.10-3.37, 4 Fe 3.18-3.42
Ho (0.1831, 0.0000, 0.1156)  6 Sn 3.09-3.26, 2 Fe 3.25
Fe (0.2165, 0.5000, 0.3473)  4 Sn 2.58-2.72
Sn (0.0245, 0.5000, 0.8759)  1 Fe 2.65
Sn (0.1558, 0.5000, 0.5646)  3 Fe 2.58-2.72

=====

(3)
Density functional theory data (GGA-PBE) for a relaxed TbHoFe2Sn crystal.

## Properties
Its crystal system is orthorhombic. The calculation puts the uncorrected energy at -62.6 eV per cell. For the calculated volume, the calculation gives 20.548 A^3/atom.

a = 3.7939 Å, b = 3.8793 Å, c = 13.9612 Å
α = 90.00°, β = 90.00°, γ = 90.00°
With the nearest neighbours (Å) after each atom.
Space group Amm2 (No. 38)
One atom of each set of equivalent atoms:
Tb (0.0000, 0.0000, 0.0000)  6 Fe 2.88-2.96
Ho (0.0000, 0.0000, 0.7309)  6 Fe 2.88-2.94
Fe (0.5000, 0.0000, 0.1626)  2 Fe 2.33
Fe (0.5000, 0.0000, 0.5701)  2 Fe 2.33
Sn (0.5000, 0.0000, 0.3648)  2 Fe 2.82-2.87

=====

(4)
Density functional theory data (GGA-PBE) for a relaxed YHoFe2Sn crystal.

## Properties
Its crystal system is orthorhombic. The calculation puts the uncorrected energy at -66.2 eV per cell. For the calculated volume, the calculation gives 20.509 A^3/atom.

a = 3.7805 Å, b = 3.8900 Å, c = 13.9460 Å
α = 90.00°, β = 90.00°, γ = 90.00°
With the nearest neighbours (Å) after each atom.
Space group Amm2 (No. 38)
One atom of each set of equivalent atoms:
Y (0.0000, 0.0000, 0.0000)  6 Fe 2.89-2.96
Ho (0.0000, 0.0000, 0.7313)  6 Fe 2.87-2.92
Fe (0.5000, 0.0000, 0.1638)  2 Fe 2.33
Fe (0.5000, 0.0000, 0.5713)  2 Fe 2.33
Sn (0.5000, 0.0000, 0.3659)  2 Fe 2.82-2.86

=====

(5)
Density functional theory data (GGA-PBE) for a relaxed HoTaFe crystal.

## Properties
Its crystal system is cubic. Its formation energy from the elements is 1.60 eV/atom. For the offset from the most stable computed form, the calculation gives 1208 meV/atom. For the calculated volume, the calculation gives 21.842 A^3/atom.

a = 6.3997 Å, b = 6.3997 Å, c = 6.3997 Å
α = 90.00°, β = 90.00°, γ = 90.00°
With the nearest neighbours (Å) after each atom.
Space group F-43m (No. 216)
One atom of each set of equivalent atoms:
Ho (0.0000, 0.0000, 0.0000)  4 Fe 2.77, 4 Ta 2.77
Ta (0.2500, 0.2500, 0.7500)  4 Ho 2.77
Fe (0.2500, 0.2500, 0.2500)  4 Ho 2.77

=====

(6)
Density functional theory data (GGA-PBE) for a relaxed HoTaFe crystal.

## Properties
Its crystal system is cubic. Its formation energy from the elements is 0.39 eV/atom. For the offset from the most stable computed form, the calculation gives 0 meV/atom. For the calculated volume, the calculation gives 19.969 A^3/atom.

a = 6.2113 Å, b = 6.2113 Å, c = 6.2113 Å
α = 90.00°, β = 90.00°, γ = 90.00°
With the nearest neighbours (Å) after each atom.
Space group F-43m (No. 216)
One atom of each set of equivalent atoms:
Ho (0.0000, 0.0000, 0.0000)  4 Fe 2.69
Ta (0.0000, 0.0000, 0.5000)  4 Fe 2.69
Fe (0.2500, 0.2500, 0.2500)  4 Ta 2.69, 4 Ho 2.69

=====

(7)
Density functional theory data (GGA-PBE) for a relaxed TbHoTlFe2 crystal.

## Properties
Its crystal system is orthorhombic. The calculation puts the uncorrected energy at -57.9 eV per cell. For the calculated volume, the calculation gives 20.761 A^3/atom.

a = 3.9024 Å, b = 3.8120 Å, c = 13.9566 Å
α = 90.00°, β = 90.00°, γ = 90.00°
With the nearest neighbours (Å) after each atom.
Space group Amm2 (No. 38)
One atom of each set of equivalent atoms:
Tb (0.0000, 0.0000, 0.0000)  6 Fe 2.89-2.91
Ho (0.0000, 0.0000, 0.7223)  6 Fe 2.86-2.90
Tl (0.5000, 0.0000, 0.3604)  2 Fe 2.90-2.96
Fe (0.5000, 0.0000, 0.1523)  2 Fe 2.21
Fe (0.5000, 0.0000, 0.5728)  2 Fe 2.21

=====

(8)
Density functional theory data (GGA-PBE) for a relaxed HoFeTc crystal.

## Properties
Its crystal system is cubic. Its formation energy from the elements is 1.28 eV/atom. For the offset from the most stable computed form, the calculation gives 827 meV/atom. For the calculated volume, the calculation gives 20.555 A^3/atom.

a = 6.2714 Å, b = 6.2714 Å, c = 6.2714 Å
α = 90.00°, β = 90.00°, γ = 90.00°
With the nearest neighbours (Å) after each atom.
Space group F-43m (No. 216)
One atom of each set of equivalent atoms:
Ho (0.0000, 0.0000, 0.0000)  4 Fe 2.72, 4 Tc 2.72
Fe (0.2500, 0.2500, 0.7500)  4 Ho 2.72
Tc (0.2500, 0.2500, 0.2500)  4 Ho 2.72